# PmGeRh, relaxed, DFT PBE-GGA
data_PmGeRh
_chemical_formula_sum 'Pm1 Ge1 Rh1'
_space_group_name_H-M_alt 'P -6 m 2'
_space_group_IT_number 187
_space_group_name_Hall 'P -6 2'
_cell_length_a 4.3422
_cell_length_b 4.3422
_cell_length_c 3.8629
_cell_angle_alpha 90.00
_cell_angle_beta 90.00
_cell_angle_gamma 120.00
loop_
_atom_site_label
_atom_site_type_symbol
_atom_site_fract_x
_atom_site_fract_y
_atom_site_fract_z
Pm1 Pm 0.0000 0.0000 0.0000
Ge1 Ge 0.3333 0.6667 0.5000
Rh1 Rh 0.6667 0.3333 0.5000
# ΔH_f (0 K): -848 meV/atom
# Excess energy over the best structure of this formula in the dataset: 1.66 kcal/mol of atoms

---

# SrReSe2, relaxed, DFT PBE-GGA
data_SrReSe2
_chemical_formula_sum 'Sr4 Re4 Se8'
_space_group_name_H-M_alt 'F m -3 m'
_space_group_IT_number 225
_space_group_name_Hall '-F 4 2 3'
_cell_length_a 6.849
_cell_length_b 6.849
_cell_length_c 6.849
_cell_angle_alpha 90.00
_cell_angle_beta 90.00
_cell_angle_gamma 90.00
loop_
_atom_site_label
_atom_site_type_symbol
_atom_site_fract_x
_atom_site_fract_y
_atom_site_fract_z
Sr1 Sr 0.000 0.000 0.000
Re1 Re 0.000 0.000 0.500
Se1 Se 0.250 0.250 0.250
# Formation energy (no corrections): -0.0443 eV per atom
# Excess energy over the best structure of this formula in the dataset: 11.06 kcal/mol of atoms

---

# HgPb2IO6, relaxed, DFT PBE-GGA
data_HgPb2IO6
_chemical_formula_sum 'Hg3 Pb6 I3 O18'
_space_group_name_H-M_alt 'R -3'
_space_group_IT_number 148
_space_group_name_Hall '-R 3'
_cell_length_a 6.2188
_cell_length_b 6.2188
_cell_length_c 14.1585
_cell_angle_alpha 90.00
_cell_angle_beta 90.00
_cell_angle_gamma 120.00
loop_
_atom_site_label
_atom_site_type_symbol
_atom_site_fract_x
_atom_site_fract_y
_atom_site_fract_z
Hg1 Hg 0.0000 0.0000 0.0000
Pb1 Pb 0.0000 0.0000 0.2664
I1 I 0.0000 0.0000 0.5000
O1 O 0.0532 0.4462 0.2521
# Formation energy (no corrections): -0.5913 eV per atom